Record 1
Compound: VGaI
Source: the Alexandria database
Functional: PBE
Structure: optimized geometry

abc: 3.328 6.993 6.492
angles: 111.42 104.85 90.00
Element x y z (fractional)
I  0.467  0.242  0.934
I  0.533  0.758  0.066
Ga  0.210  0.256  0.420
V  0.125  0.544  0.250
V  0.875  0.456  0.750
Ga  0.790  0.744  0.580

Results
* space group: C2/m (12)
* calculated total energy: -25.113 eV for the cell shown
* raw formation energy: 380 meV/atom

=====

Record 2
Compound: AcZnGa2
Source: the Alexandria database
Functional: PBE
Structure: optimized geometry

abc: 5.136 5.136 5.136
angles: 60.00 60.00 60.00
Element x y z (fractional)
Zn  0.000  0.000  0.000
Ac  0.500  0.500  0.500
Ga  0.750  0.750  0.750
Ga  0.250  0.250  0.250

Results
* space group: Fm-3m (225)
* calculated total energy: -12.287 eV for the cell shown
* energy relative to the lowest polymorph listed for this composition: 0.314 eV/atom

=====

Record 3
Compound: SrSc2Fe
Source: the Alexandria database
Functional: PBE
Structure: optimized geometry

abc: 3.235 3.235 9.273
angles: 90.00 90.00 90.00
Element x y z (fractional)
Sr  0.500  0.500  0.250
Sc  0.000  0.000  0.908
Fe  0.500  0.500  0.750
Sc  0.000  0.000  0.592

Results
* space group: P4/mmm (123)
* calculated total energy: -22.420 eV for the cell shown
* energy relative to the lowest polymorph listed for this composition: 0.000 eV/atom

=====

Record 4
Compound: KPaPS6
Source: the Alexandria database
Functional: PBE
Structure: optimized geometry

abc: 5.932 6.951 7.484
angles: 97.86 91.88 51.56
Element x y z (fractional)
Pa  0.712  0.663  0.458
K  0.065  0.943  0.984
S  0.734  0.540  0.135
S  0.778  0.290  0.613
P  0.405  0.364  0.533
S  0.174  0.700  0.438
S  0.556  0.951  0.763
S  0.137  0.435  0.748
S  0.438  0.113  0.328

Results
* space group: P1 (1)
* calculated total energy: -48.034 eV for the cell shown
* raw formation energy: -807 meV/atom

=====

Record 5
Compound: SrPrCu2Ge2
Source: the Alexandria database
Functional: PBE
Structure: optimized geometry

abc: 4.271 4.271 8.591
angles: 90.00 90.00 120.00
Element x y z (fractional)
Ge  0.333  0.667  0.266
Cu  0.667  0.333  0.262
Sr  0.000  0.000  0.000
Cu  0.333  0.667  0.738
Ge  0.667  0.333  0.734
Pr  0.000  0.000  0.500

Results
* space group: P-3m1 (164)
* calculated total energy: -27.139 eV for the cell shown

=====

Record 6
Compound: ReHgBr2
Source: the Alexandria database
Functional: PBE
Structure: optimized geometry

abc: 5.563 5.563 7.436
angles: 68.22 68.22 33.21
Element x y z (fractional)
Br  0.262  0.262  0.333
Re  0.697  0.697  0.625
Hg  0.435  0.435  0.625
Br  0.105  0.105  0.917

Results
* space group: Cm (8)
* calculated total energy: -14.711 eV for the cell shown
* raw formation energy: 346 meV/atom
* energy relative to the lowest polymorph listed for this composition: 0.056 eV/atom

=====

Record 7
Compound: K2SbBr
Source: the Alexandria database
Functional: PBE
Structure: optimized geometry

abc: 4.938 4.938 7.196
angles: 90.00 90.00 90.00
Element x y z (fractional)
Sb  0.000  0.000  0.376
K  0.500  0.500  0.373
K  0.000  0.000  0.876
Br  0.500  0.500  0.875

Results
* space group: P4mm (99)
* calculated total energy: -10.559 eV for the cell shown
* raw formation energy: -642 meV/atom
* energy relative to the lowest polymorph listed for this composition: 0.265 eV/atom

=====

Record 8
Compound: NaLaHg6
Source: the Alexandria database
Functional: PBE
Structure: optimized geometry

abc: 5.215 6.786 6.786
angles: 119.91 90.00 90.00
Element x y z (fractional)
Hg  0.000  0.082  0.415
Hg  0.500  0.429  0.090
La  0.000  0.084  0.916
Hg  0.500  0.911  0.089
Hg  0.500  0.910  0.571
Hg  0.000  0.585  0.918
Hg  0.000  0.584  0.416
Na  0.500  0.416  0.584

Results
* space group: Amm2 (38)
* calculated total energy: -10.448 eV for the cell shown
* energy relative to the lowest polymorph listed for this composition: 0.007 eV/atom

=====

What is the calculated total energy in the third record?
-22.420 eV for the cell shown

=====

Repeat the fifth record exactly.
Compound: SrPrCu2Ge2
Source: the Alexandria database
Functional: PBE
Structure: optimized geometry

abc: 4.271 4.271 8.591
angles: 90.00 90.00 120.00
Element x y z (fractional)
Ge  0.333  0.667  0.266
Cu  0.667  0.333  0.262
Sr  0.000  0.000  0.000
Cu  0.333  0.667  0.738
Ge  0.667  0.333  0.734
Pr  0.000  0.000  0.500

Results
* space group: P-3m1 (164)
* calculated total energy: -27.139 eV for the cell shown